Record 1
This record from Alexandria describes a relaxed structure of TbSm2Sc2. The functional is PBE.

**Crystal system**: monoclinic
**E above lowest polymorph**: 0.00 eV per formula unit
**Space group**: C2/c
**Energy of formation**: 0.16 eV per atom

a b c (Å): 9.014 9.014 5.612
angles (deg): 108.11 108.11 120.95
Sites, in units of the cell vectors:
Tb (0.150, 0.850, 0.250)
Tb (0.850, 0.150, 0.750)
Sc (0.371, 0.629, 0.250)
Sc (0.629, 0.371, 0.750)
Sm (0.311, 0.186, 0.998)
Sm (0.814, 0.689, 0.502)
Sm (0.689, 0.814, 0.002)
Sc (0.744, 0.256, 0.250)
Sc (0.256, 0.744, 0.750)
Sm (0.186, 0.311, 0.498)

Record 2
This record from Alexandria describes a relaxed structure of TbSmSc2. The functional is PBE.

**Crystal system**: trigonal
**E above lowest polymorph**: 0.71 eV per formula unit
**Space group**: R-3m
**Energy of formation**: 0.23 eV per atom

a b c (Å): 3.339 3.339 12.071
angles (deg): 82.05 82.05 60.00
Sites, in units of the cell vectors:
Tb (0.500, 0.500, 0.500)
Sc (0.090, 0.090, 0.729)
Sc (0.910, 0.910, 0.271)
Sm (0.000, 0.000, 0.000)

Record 3
This record from Alexandria describes a relaxed structure of Tb2Sm4Sc. The functional is PBE.

**Crystal system**: monoclinic
**E above lowest polymorph**: 0.75 eV per formula unit
**Space group**: P2_1/m
**Energy of formation**: 0.14 eV per atom

a b c (Å): 6.115 6.598 11.472
angles (deg): 90.00 104.71 90.00
Sites, in units of the cell vectors:
Sm (0.642, 0.990, 0.285)
Tb (0.388, 0.250, 0.003)
Sm (0.848, 0.250, 0.555)
Tb (0.280, 0.250, 0.420)
Tb (0.612, 0.750, 0.997)
Sc (0.855, 0.250, 0.836)
Sm (0.358, 0.490, 0.715)
Sm (0.152, 0.750, 0.445)
Sm (0.043, 0.750, 0.871)
Sc (0.145, 0.750, 0.164)
Sm (0.642, 0.510, 0.285)
Sm (0.358, 0.010, 0.715)
Tb (0.720, 0.750, 0.580)
Sm (0.957, 0.250, 0.129)